[1]
InRh2N: relaxed, GGA-PBE.

## Properties
Space group: Fm-3m
Formation energy without anion corrections (eV/atom): 1.02
E_tot (eV per atom): -5.424

Unit cell a=4.346 b=4.346 c=4.346 alpha=60.00 beta=60.00 gamma=60.00
Element x y z (fractional)
In 0.000 0.000 0.000
Rh 0.250 0.250 0.250
Rh 0.750 0.750 0.750
N 0.500 0.500 0.500

[2]
InRuRh2N: relaxed, GGA-PBE.

## Properties
Space group: P4/mmm
Formation energy without anion corrections (eV/atom): 0.00
E_tot (eV per atom): -7.006

Unit cell a=4.203 b=4.203 c=3.971 alpha=90.00 beta=90.00 gamma=90.00
Element x y z (fractional)
In 0.000 0.000 0.000
Ru 0.500 0.500 0.000
Rh 0.000 0.500 0.500
Rh 0.500 0.000 0.500
N 0.500 0.500 0.500

[3]
ScInRh2N: relaxed, GGA-PBE.

## Properties
Space group: P4/mmm
Formation energy without anion corrections (eV/atom): 0.66
E_tot (eV per atom): -5.764

Unit cell a=4.843 b=4.843 c=4.000 alpha=90.00 beta=90.00 gamma=90.00
Element x y z (fractional)
Sc 0.000 0.000 0.000
In 0.500 0.500 0.500
Rh 0.000 0.500 0.000
Rh 0.500 0.000 0.000
N 0.000 0.000 0.500